No. 1
Na4GaHg7 (PBE-GGA, optimized geometry); DOS at the Fermi energy = 3.21 states/eV/cell; total magnetization = 0.00 μB/cell; ΔE_f = -0.168 eV/atom
1.0
7.8256 -2.6685 0.0000
7.8256 2.6685 0.0000
-5.1527 0.0000 7.7961
Na Ga Hg
4 1 7
direct
0.0631 0.0631 0.2364
0.2347 0.2347 0.7413
0.7653 0.7653 0.2587
0.9369 0.9369 0.7636
0.5000 0.5000 0.5000
0.0000 0.0000 0.5000
0.1826 0.1826 0.0530
0.3049 0.3049 0.4809
0.4106 0.4106 0.1394
0.5894 0.5894 0.8606
0.6951 0.6951 0.5191
0.8174 0.8174 0.9470

***

No. 2
ZnCuAu3 (PBE-GGA, optimized geometry); DOS at the Fermi energy = 3.72 states/eV/cell; total magnetization = 0.00 μB/cell; energy relative to the lowest polymorph listed for this composition = 107 meV per atom; ΔE_f = -0.012 eV/atom
1.0
5.1518 0.0000 0.0000
0.0000 7.4842 0.0000
-2.4928 0.0000 4.5506
Zn Cu Au
2 2 6
direct
0.1926 0.2500 0.3616
0.8074 0.7500 0.6384
0.1954 0.2500 0.8530
0.8046 0.7500 0.1470
0.2972 0.7500 0.6338
0.3108 0.5614 0.1431
0.3108 0.9386 0.1431
0.6892 0.0614 0.8569
0.6892 0.4386 0.8569
0.7028 0.2500 0.3662

***

No. 3
Tb4Tl2PSe (PBE-GGA, optimized geometry); DOS at the Fermi energy = 4.54 states/eV/cell; ΔE_f (raw) = -8.3 eV per formula unit; total magnetization = 0.00 μB/cell
1.0
6.8894 0.0000 0.0000
0.0000 3.9406 0.0000
-2.2417 0.0000 7.9323
Tb Tl P Se
4 2 1 1
direct
0.2256 0.0000 0.2060
0.2522 0.5000 0.7871
0.7478 0.5000 0.2129
0.7744 0.0000 0.7940
0.0000 0.0000 0.5000
0.5000 0.5000 0.5000
0.0000 0.5000 0.0000
0.5000 0.0000 0.0000

***

No. 4
Zn2In2F7 (PBE-GGA, optimized geometry); DOS at the Fermi energy = 1.97 states/eV/cell; ΔE_f (raw) = -23.2 eV per formula unit; total magnetization = 0.00 μB/cell
1.0
4.2840 -3.3456 0.0000
4.2840 3.3456 0.0000
-0.2165 0.0000 5.4592
Zn In F
2 2 7
direct
0.2403 0.2403 0.0289
0.7597 0.7597 0.9711
0.2261 0.7739 0.5000
0.7739 0.2261 0.5000
0.0000 0.0000 0.0000
0.0672 0.5005 0.7715
0.4312 0.4312 0.2676
0.4995 0.9328 0.2285
0.5005 0.0672 0.7715
0.5688 0.5688 0.7324
0.9328 0.4995 0.2285

***

No. 5
NdGa2Co2Ge (PBE-GGA, optimized geometry); DOS at the Fermi energy = 6.29 states/eV/cell; total magnetization = 1.36 μB/cell; ΔE_f = -0.235 eV/atom
1.0
4.3580 0.0000 0.0000
0.0000 4.3580 0.0000
0.0000 0.0000 5.6797
Nd Ga Co Ge
1 2 2 1
direct
0.0000 0.0000 0.0000
0.5000 0.5000 0.2446
0.5000 0.5000 0.7554
0.0000 0.5000 0.5000
0.5000 0.0000 0.5000
0.0000 0.0000 0.5000